No. 1
# HoGaPO (PBE, optimized geometry)
data_HoGaPO
_chemical_formula_sum 'Ho2 Ga2 P2 O2'
_cell_length_a 3.954
_cell_length_b 6.769
_cell_length_c 5.689
_cell_angle_alpha 90.00
_cell_angle_beta 90.00
_cell_angle_gamma 90.00
_symmetry_space_group_name_H-M 'P 1'
_symmetry_Int_Tables_number 1
loop_
_symmetry_equiv_pos_as_xyz
'x,y,z'
loop_
_atom_site_label
_atom_site_fract_x
_atom_site_fract_y
_atom_site_fract_z
Ga1 0.000 0.884 0.024
P1 0.500 0.719 0.913
Ga2 0.000 0.116 0.524
Ho1 0.500 0.688 0.424
O1 0.000 0.839 0.394
Ho2 0.500 0.312 0.924
P2 0.500 0.281 0.413
O2 0.000 0.161 0.894
# DFT total energy (eV/atom): -5.9015
# E above lowest polymorph (meV per atom): 199
# Size of the total moment (μB/atom): 0.001

***

No. 2
# HoGaPO (PBE, optimized geometry)
data_HoGaPO
_chemical_formula_sum 'Ho2 Ga2 P2 O2'
_cell_length_a 4.291
_cell_length_b 4.291
_cell_length_c 9.079
_cell_angle_alpha 90.00
_cell_angle_beta 90.00
_cell_angle_gamma 90.00
_symmetry_space_group_name_H-M 'P 1'
_symmetry_Int_Tables_number 1
loop_
_symmetry_equiv_pos_as_xyz
'x,y,z'
loop_
_atom_site_label
_atom_site_fract_x
_atom_site_fract_y
_atom_site_fract_z
P1 0.250 0.250 0.683
O1 0.750 0.250 0.000
Ho1 0.250 0.750 0.500
Ho2 0.750 0.250 0.500
Ga1 0.250 0.250 0.946
Ga2 0.750 0.750 0.054
O2 0.250 0.750 0.000
P2 0.750 0.750 0.317
# DFT total energy (eV/atom): -5.2233
# E above lowest polymorph (meV per atom): 877
# Size of the total moment (μB/atom): 0.006

***

No. 3
# HoGaPO (PBE, optimized geometry)
data_HoGaPO
_chemical_formula_sum 'Ho2 Ga2 P2 O2'
_cell_length_a 4.118
_cell_length_b 4.118
_cell_length_c 8.058
_cell_angle_alpha 90.00
_cell_angle_beta 90.00
_cell_angle_gamma 90.00
_symmetry_space_group_name_H-M 'P 1'
_symmetry_Int_Tables_number 1
loop_
_symmetry_equiv_pos_as_xyz
'x,y,z'
loop_
_atom_site_label
_atom_site_fract_x
_atom_site_fract_y
_atom_site_fract_z
P1 0.750 0.750 0.330
Ga1 0.750 0.250 0.500
O1 0.750 0.250 0.000
O2 0.250 0.750 0.000
Ho1 0.250 0.250 0.118
P2 0.250 0.250 0.670
Ho2 0.750 0.750 0.882
Ga2 0.250 0.750 0.500
# DFT total energy (eV/atom): -6.1005
# E above lowest polymorph (meV per atom): 0
# Size of the total moment (μB/atom): 0.004

***

No. 4
# HoGaPO (PBE, optimized geometry)
data_HoGaPO
_chemical_formula_sum 'Ho2 Ga2 P2 O2'
_cell_length_a 4.452
_cell_length_b 4.520
_cell_length_c 6.324
_cell_angle_alpha 90.00
_cell_angle_beta 90.00
_cell_angle_gamma 90.00
_symmetry_space_group_name_H-M 'P 1'
_symmetry_Int_Tables_number 1
loop_
_symmetry_equiv_pos_as_xyz
'x,y,z'
loop_
_atom_site_label
_atom_site_fract_x
_atom_site_fract_y
_atom_site_fract_z
Ga1 0.000 0.853 0.437
Ga2 0.000 0.147 0.937
Ho1 0.500 0.684 0.093
O1 0.500 0.847 0.436
Ho2 0.500 0.316 0.593
P1 0.000 0.354 0.288
P2 0.000 0.646 0.788
O2 0.500 0.153 0.936
# DFT total energy (eV/atom): -5.9547
# E above lowest polymorph (meV per atom): 146
# Size of the total moment (μB/atom): 0.001

***

No. 5
# Ho4Ga12Os (PBE, optimized geometry)
data_Ho4Ga12Os
_chemical_formula_sum 'Ho4 Ga12 Os1'
_cell_length_a 7.430
_cell_length_b 7.430
_cell_length_c 7.430
_cell_angle_alpha 109.47
_cell_angle_beta 109.47
_cell_angle_gamma 109.47
_symmetry_space_group_name_H-M 'P 1'
_symmetry_Int_Tables_number 1
loop_
_symmetry_equiv_pos_as_xyz
'x,y,z'
loop_
_atom_site_label
_atom_site_fract_x
_atom_site_fract_y
_atom_site_fract_z
Ga1 0.292 0.292 0.000
Ga2 0.250 0.750 0.500
Os1 0.000 0.000 0.000
Ga3 0.500 0.250 0.750
Ga4 0.708 0.708 0.000
Ga5 0.750 0.500 0.250
Ga6 0.292 0.000 0.292
Ho1 0.000 0.000 0.500
Ho2 0.000 0.500 0.000
Ho3 0.500 0.000 0.000
Ga7 0.708 0.000 0.708
Ga8 0.750 0.250 0.500
Ga9 0.000 0.292 0.292
Ho4 0.500 0.500 0.500
Ga10 0.500 0.750 0.250
Ga11 0.250 0.500 0.750
Ga12 0.000 0.708 0.708
# DFT total energy (eV/atom): -4.4041
# Size of the total moment (μB/atom): 0.001

***

No. 6
# HoPaGa (PBE, optimized geometry)
data_HoPaGa
_chemical_formula_sum 'Ho1 Pa1 Ga1'
_cell_length_a 4.844
_cell_length_b 4.844
_cell_length_c 4.844
_cell_angle_alpha 60.00
_cell_angle_beta 60.00
_cell_angle_gamma 60.00
_symmetry_space_group_name_H-M 'P 1'
_symmetry_Int_Tables_number 1
loop_
_symmetry_equiv_pos_as_xyz
'x,y,z'
loop_
_atom_site_label
_atom_site_fract_x
_atom_site_fract_y
_atom_site_fract_z
Ho1 0.250 0.250 0.250
Pa1 0.750 0.750 0.750
Ga1 0.000 0.000 0.000
# DFT total energy (eV/atom): -5.5501
# E above lowest polymorph (meV per atom): 0
# Size of the total moment (μB/atom): 0.021

***

No. 7
# Ho5Ga2Pb (PBE, optimized geometry)
data_Ho5Ga2Pb
_chemical_formula_sum 'Ho10 Ga4 Pb2'
_cell_length_a 8.815
_cell_length_b 8.815
_cell_length_c 8.815
_cell_angle_alpha 126.88
_cell_angle_beta 126.88
_cell_angle_gamma 78.45
_symmetry_space_group_name_H-M 'P 1'
_symmetry_Int_Tables_number 1
loop_
_symmetry_equiv_pos_as_xyz
'x,y,z'
loop_
_atom_site_label
_atom_site_fract_x
_atom_site_fract_y
_atom_site_fract_z
Ho1 0.698 0.517 0.500
Ho2 0.483 0.983 0.181
Pb1 0.250 0.250 0.000
Ga1 0.135 0.635 0.769
Ho3 0.983 0.802 0.500
Pb2 0.750 0.750 0.000
Ho4 0.517 0.017 0.819
Ga2 0.635 0.865 0.500
Ho5 0.802 0.302 0.819
Ga3 0.365 0.135 0.500
Ho6 0.000 0.000 0.000
Ho7 0.198 0.698 0.181
Ga4 0.865 0.365 0.231
Ho8 0.500 0.500 0.000
Ho9 0.302 0.483 0.500
Ho10 0.017 0.198 0.500
# DFT total energy (eV/atom): -4.6011
# Size of the total moment (μB/atom): 0.000

***

No. 8
# HoGaPbS3 (PBE, optimized geometry)
data_HoGaPbS3
_chemical_formula_sum 'Ho2 Ga2 Pb2 S6'
_cell_length_a 7.683
_cell_length_b 7.683
_cell_length_c 10.619
_cell_angle_alpha 90.00
_cell_angle_beta 90.00
_cell_angle_gamma 150.32
_symmetry_space_group_name_H-M 'P 1'
_symmetry_Int_Tables_number 1
loop_
_symmetry_equiv_pos_as_xyz
'x,y,z'
loop_
_atom_site_label
_atom_site_fract_x
_atom_site_fract_y
_atom_site_fract_z
Ga1 0.864 0.136 0.250
S1 0.467 0.533 0.250
S2 0.126 0.874 0.012
S3 0.874 0.126 0.988
Ho1 0.500 0.500 0.500
S4 0.874 0.126 0.512
Ho2 0.500 0.500 0.000
Pb1 0.794 0.206 0.750
S5 0.126 0.874 0.488
S6 0.533 0.467 0.750
Pb2 0.206 0.794 0.250
Ga2 0.136 0.864 0.750
# DFT total energy (eV/atom): -4.9483
# Size of the total moment (μB/atom): 0.000

***

No. 9
# HoGaTe3Pb (PBE, optimized geometry)
data_HoGaTe3Pb
_chemical_formula_sum 'Ho2 Ga2 Te6 Pb2'
_cell_length_a 7.792
_cell_length_b 7.792
_cell_length_c 11.085
_cell_angle_alpha 90.00
_cell_angle_beta 90.00
_cell_angle_gamma 146.50
_symmetry_space_group_name_H-M 'P 1'
_symmetry_Int_Tables_number 1
loop_
_symmetry_equiv_pos_as_xyz
'x,y,z'
loop_
_atom_site_label
_atom_site_fract_x
_atom_site_fract_y
_atom_site_fract_z
Ga1 0.469 0.531 0.750
Te1 0.644 0.356 0.460
Pb1 0.247 0.753 0.250
Te2 0.356 0.644 0.540
Te3 0.096 0.904 0.750
Te4 0.904 0.096 0.250
Ga2 0.531 0.469 0.250
Ho1 0.000 0.000 0.500
Te5 0.644 0.356 0.040
Pb2 0.753 0.247 0.750
Ho2 0.000 0.000 0.000
Te6 0.356 0.644 0.960
# DFT total energy (eV/atom): -4.0487
# Size of the total moment (μB/atom): 0.001

***

No. 10
# HoGaPd2 (PBE, optimized geometry)
data_HoGaPd2
_chemical_formula_sum 'Ho2 Ga2 Pd4'
_cell_length_a 4.400
_cell_length_b 4.400
_cell_length_c 9.004
_cell_angle_alpha 90.00
_cell_angle_beta 90.00
_cell_angle_gamma 120.00
_symmetry_space_group_name_H-M 'P 1'
_symmetry_Int_Tables_number 1
loop_
_symmetry_equiv_pos_as_xyz
'x,y,z'
loop_
_atom_site_label
_atom_site_fract_x
_atom_site_fract_y
_atom_site_fract_z
Ho1 0.333 0.667 0.250
Pd1 0.333 0.667 0.581
Ga1 0.000 0.000 0.500
Pd2 0.667 0.333 0.082
Ho2 0.667 0.333 0.750
Pd3 0.667 0.333 0.418
Ga2 0.000 0.000 0.001
Pd4 0.333 0.667 0.917
# DFT total energy (eV/atom): -5.3906
# Size of the total moment (μB/atom): 0.000

***

No. 11
# Ho2Ga3Pd4 (PBE, optimized geometry)
data_Ho2Ga3Pd4
_chemical_formula_sum 'Ho4 Ga6 Pd8'
_cell_length_a 8.081
_cell_length_b 8.081
_cell_length_c 7.702
_cell_angle_alpha 90.00
_cell_angle_beta 90.00
_cell_angle_gamma 139.57
_symmetry_space_group_name_H-M 'P 1'
_symmetry_Int_Tables_number 1
loop_
_symmetry_equiv_pos_as_xyz
'x,y,z'
loop_
_atom_site_label
_atom_site_fract_x
_atom_site_fract_y
_atom_site_fract_z
Ho1 0.890 0.110 0.917
Pd1 0.818 0.182 0.520
Ga1 0.519 0.981 0.250
Ho2 0.610 0.390 0.417
Ho3 0.110 0.890 0.083
Ga2 0.000 0.000 0.500
Pd2 0.182 0.818 0.480
Ga3 0.500 0.500 0.000
Pd3 0.318 0.682 0.980
Ga4 0.019 0.481 0.250
Ho4 0.390 0.610 0.583
Ga5 0.481 0.019 0.750
Pd4 0.309 0.191 0.750
Pd5 0.691 0.809 0.250
Ga6 0.981 0.519 0.750
Pd6 0.809 0.691 0.750
Pd7 0.191 0.309 0.250
Pd8 0.682 0.318 0.020
# DFT total energy (eV/atom): -5.1846
# Size of the total moment (μB/atom): 0.002

***

> Which of these has the lowest DFT total energy?

number 3

***

> Which formula does entry 1 have?

HoGaPO